VASP calculation (PBEsol) on crystalline ScFe2Cu at its relaxed geometry.

Properties
- DFT formation energy: 186 meV per atom

Lattice parameters (Å, degrees): 5.096 8.450 2.612 90.00 113.62 90.00
Space group C2/m (No. 12)
Unique sites:
Sc1 0.000 0.000 0.000 x2
Fe1 0.250 0.250 0.500 x4
Cu1 0.000 0.500 0.000 x2